Computed, not measured: crystalline La4Pm2Tl at its relaxed geometry at the PBE level of DFT.

Properties
- ΔH_f (0 K) (eV per atom) = -0.0241
- spin magnetization (μB/atom) = 0.000
- N(E_F) (states/eV per cell) = 23.86
- crystal system = monoclinic
- SG = P2_1/c (14)

Lattice parameters (Å, degrees): 6.451 11.317 6.680 90.00 91.18 90.00
Sites, in units of the cell vectors:
La (0.067, 0.156, 0.456)
La (0.067, 0.344, 0.956)
La (0.403, 0.736, 0.726)
La (0.403, 0.764, 0.226)
La (0.597, 0.236, 0.774)
La (0.597, 0.264, 0.274)
La (0.933, 0.656, 0.044)
La (0.933, 0.844, 0.544)
Pm (0.248, 0.031, 0.947)
Pm (0.248, 0.469, 0.447)
Pm (0.752, 0.531, 0.553)
Pm (0.752, 0.969, 0.053)
Tl (0.500, 0.000, 0.500)
Tl (0.500, 0.500, 0.000)